(1)
This record from Alexandria via LeMat-Bulk describes a geometry-optimized Li2MoW structure. The functional is PBE.

Calculated values
Its symmetry is P4mm, No. 99. The total magnetization comes out at 0.000 μB/f.u. As for the relative energy among the computed polymorphs: 156 meV per atom. The value obtained for the density of states at the Fermi level is 3.3 states/eV/f.u. As for the formation energy: 0.392 eV per atom. As for the crystal system: tetragonal.

Unit cell a=2.6265 b=2.6265 c=9.3078 alpha=90.00 beta=90.00 gamma=90.00
Atoms (fractional coordinates):
W1 0.5000 0.5000 0.7509
Li1 0.0000 0.0000 0.9935
Li2 0.5000 0.5000 0.2554
Mo1 0.0000 0.0000 0.5002

(2)
This record from Alexandria via LeMat-Bulk describes a geometry-optimized Ac14PmDy structure. The functional is PBE.

Calculated values
Its symmetry is P4/mmm, No. 123. The total magnetization comes out at 0.000 μB/f.u. The value obtained for the density of states at the Fermi level is 29.5 states/eV/f.u. As for the formation energy: 0.027 eV per atom. As for the crystal system: tetragonal.

Unit cell a=7.8853 b=7.8853 c=11.2160 alpha=90.00 beta=90.00 gamma=90.00
Atoms (fractional coordinates):
Ac1 0.8749 0.6250 0.0000
Ac2 0.1256 0.8744 0.2437
Ac3 0.6245 0.8745 0.7563
Ac4 0.3750 0.1249 0.5000
Ac5 0.6244 0.3756 0.2439
Ac6 0.3750 0.6250 0.5000
Ac7 0.6244 0.3756 0.7561
Ac8 0.8752 0.1248 0.5000
Ac9 0.1255 0.3755 0.2437
Ac10 0.6245 0.8745 0.2437
Ac11 0.1256 0.8744 0.7563
Ac12 0.8751 0.6250 0.5000
Ac13 0.1255 0.3755 0.7563
Ac14 0.3750 0.1251 0.0000
Dy1 0.3750 0.6250 0.0000
Pm1 0.8749 0.1251 0.0000

(3)
This record from Alexandria via LeMat-Bulk describes a geometry-optimized Ce2Co3As4Os structure. The functional is PBE.

Calculated values
Its symmetry is P-4m2, No. 115. The total magnetization comes out at 0.000 μB/f.u. The value obtained for the density of states at the Fermi level is 5.2 states/eV/f.u. As for the formation energy: -0.714 eV per atom. As for the crystal system: tetragonal.

Unit cell a=4.1566 b=4.1566 c=9.5270 alpha=90.00 beta=90.00 gamma=90.00
Atoms (fractional coordinates):
As1 0.0000 0.5000 0.3583
As2 0.5000 0.0000 0.6417
As3 0.0000 0.0000 0.0000
As4 0.5000 0.5000 0.0000
Co1 0.5000 0.0000 0.8862
Co2 0.0000 0.5000 0.1138
Co3 0.0000 0.0000 0.5000
Os1 0.5000 0.5000 0.5000
Ce1 0.0000 0.5000 0.7549
Ce2 0.5000 0.0000 0.2451

(4)
This record from Alexandria via LeMat-Bulk describes a geometry-optimized Np2ScNi9 structure. The functional is PBE.

Calculated values
Its symmetry is P6_3/mmc, No. 194. The total magnetization comes out at 6.060 μB/f.u. The value obtained for the density of states at the Fermi level is 23.1 states/eV/f.u. As for the formation energy: -0.231 eV per atom. As for the crystal system: hexagonal.

Unit cell a=4.8347 b=4.8347 c=16.2808 alpha=90.00 beta=90.00 gamma=120.00
Site moments in Bohr magnetons follow the coordinates.
Atoms (fractional coordinates):
Np1 0.6667 0.3333 0.4644  3.40
Np2 0.3333 0.6667 0.5356  3.40
Np3 0.6667 0.3333 0.0356  3.40
Np4 0.3333 0.6667 0.9644  3.40
Ni1 0.6669 0.8334 0.3727  -0.16
Ni2 0.3331 0.1666 0.8727  -0.16
Ni3 0.6667 0.3333 0.7500  -0.03
Ni4 0.1666 0.8334 0.1273  -0.16
Ni5 0.8334 0.6669 0.6273  -0.16
Ni6 0.0000 0.0000 0.7500  -0.18
Ni7 0.3333 0.6667 0.2500  -0.03
Ni8 0.0000 0.0000 0.0000  -0.05
Ni9 0.1666 0.3331 0.1273  -0.16
Ni10 0.3331 0.1666 0.6273  -0.16
Ni11 0.8334 0.1666 0.8727  -0.16
Ni12 0.1666 0.3331 0.3727  -0.16
Ni13 0.6669 0.8334 0.1273  -0.16
Ni14 0.0000 0.0000 0.2500  -0.18
Ni15 0.1666 0.8334 0.3727  -0.16
Ni16 0.8334 0.1666 0.6273  -0.16
Ni17 0.8334 0.6669 0.8727  -0.16
Ni18 0.0000 0.0000 0.5000  -0.05
Sc1 0.6667 0.3333 0.2500  0.06
Sc2 0.3333 0.6667 0.7500  0.06

(5)
This record from Alexandria via LeMat-Bulk describes a geometry-optimized AlInAs structure. The functional is PBE.

Calculated values
Its symmetry is F-43m, No. 216. The total magnetization comes out at 0.000 μB/f.u. As for the relative energy among the computed polymorphs: 355 meV per atom. The value obtained for the density of states at the Fermi level is 1.4 states/eV/f.u. As for the formation energy: 0.147 eV per atom. As for the crystal system: cubic.

Unit cell a=4.6777 b=4.6777 c=4.6777 alpha=60.00 beta=60.00 gamma=60.00
Atoms (fractional coordinates):
Al1 0.7500 0.7500 0.7500
In1 0.5000 0.5000 0.5000
As1 0.0000 0.0000 0.0000

(6)
This record from Alexandria via LeMat-Bulk describes a geometry-optimized K2HfScCu structure. The functional is PBE.

Calculated values
Its symmetry is P4/mmm, No. 123. The total magnetization comes out at 0.000 μB/f.u. As for the relative energy among the computed polymorphs: 401 meV per atom. The value obtained for the density of states at the Fermi level is 8.5 states/eV/f.u. As for the formation energy: 1.528 eV per atom. As for the crystal system: tetragonal.

Unit cell a=6.5493 b=5.1571 c=6.5493 alpha=90.00 beta=90.00 gamma=90.00
Atoms (fractional coordinates):
Hf1 0.0000 0.5000 0.0000
Sc1 0.0000 0.0000 0.0000
K1 0.5000 0.0000 0.0000
K2 0.0000 0.0000 0.5000
Cu1 0.5000 0.5000 0.5000

(7)
This record from Alexandria via LeMat-Bulk describes a geometry-optimized CaZnGe structure. The functional is PBE.

Calculated values
Its symmetry is P6_3mc, No. 186. The total magnetization comes out at 0.000 μB/f.u. The value obtained for the density of states at the Fermi level is 0.4 states/eV/f.u. As for the formation energy: -0.528 eV per atom. As for the crystal system: hexagonal.

Unit cell a=4.3060 b=4.3060 c=8.2466 alpha=90.00 beta=90.00 gamma=120.00
Atoms (fractional coordinates):
Ge1 0.6667 0.3333 0.4939
Ge2 0.3333 0.6667 0.9939
Ca1 0.0000 0.0000 0.2447
Ca2 0.0000 0.0000 0.7447
Zn1 0.6667 0.3333 0.9955
Zn2 0.3333 0.6667 0.4955

(8)
This record from Alexandria via LeMat-Bulk describes a geometry-optimized CaGa4Ag12 structure. The functional is PBE.

Calculated values
Its symmetry is Im-3, No. 204. The total magnetization comes out at 0.000 μB/f.u. The value obtained for the density of states at the Fermi level is 6.5 states/eV/f.u. As for the formation energy: 0.205 eV per atom. As for the crystal system: cubic.

Unit cell a=7.8392 b=7.8392 c=7.8392 alpha=109.47 beta=109.47 gamma=109.47
Atoms (fractional coordinates):
Ag1 0.1559 0.6528 0.8087
Ag2 0.4969 0.8441 0.6528
Ag3 0.3472 0.1913 0.8441
Ag4 0.5031 0.1559 0.3472
Ag5 0.6528 0.4969 0.8441
Ag6 0.8087 0.1559 0.6528
Ag7 0.3472 0.5031 0.1559
Ag8 0.8441 0.3472 0.1913
Ag9 0.6528 0.8087 0.1559
Ag10 0.8441 0.6528 0.4969
Ag11 0.1559 0.3472 0.5031
Ag12 0.1913 0.8441 0.3472
Ga1 0.5000 0.0000 0.0000
Ga2 0.0000 0.0000 0.5000
Ga3 0.0000 0.5000 0.0000
Ga4 0.5000 0.5000 0.5000
Ca1 0.0000 0.0000 0.0000

(9)
This record from Alexandria via LeMat-Bulk describes a geometry-optimized La2Y3Ga4 structure. The functional is PBE.

Calculated values
Its symmetry is P2_1/c, No. 14. The total magnetization comes out at 0.000 μB/f.u. As for the relative energy among the computed polymorphs: 0 meV per atom. The value obtained for the density of states at the Fermi level is 8.8 states/eV/f.u. As for the formation energy: -0.599 eV per atom. As for the crystal system: monoclinic.

Unit cell a=7.7301 b=8.0811 c=8.0854 alpha=90.00 beta=90.00 gamma=106.87
Atoms (fractional coordinates):
Ga1 0.6283 0.9198 0.0316
Ga2 0.8717 0.0802 0.5316
Ga3 0.1283 0.9198 0.4684
Ga4 0.6226 0.5038 0.6170
Ga5 0.8774 0.4962 0.1170
Ga6 0.3774 0.4962 0.3830
Ga7 0.3717 0.0802 0.9684
Ga8 0.1226 0.5038 0.8830
Y1 0.2509 0.2428 0.6756
Y2 0.0000 0.5000 0.5000
Y3 0.2491 0.7572 0.1756
Y4 0.7509 0.2428 0.8244
Y5 0.7491 0.7572 0.3244
Y6 0.5000 0.5000 0.0000
La1 0.9236 0.8076 0.8206
La2 0.5764 0.1924 0.3206
La3 0.4236 0.8076 0.6794
La4 0.0764 0.1924 0.1794

(10)
This record from Alexandria via LeMat-Bulk describes a geometry-optimized DyEr3Pu3Te8 structure. The functional is PBE.

Calculated values
Its symmetry is C2/m, No. 12. The total magnetization comes out at 5.947 μB/f.u. The value obtained for the density of states at the Fermi level is 41.6 states/eV/f.u. The value obtained for the formation energy (no corrections) is -1.244 eV/atom. As for the crystal system: monoclinic.

Unit cell a=8.7333 b=8.7142 c=8.7436 alpha=119.89 beta=90.06 gamma=119.92
Site moments in Bohr magnetons follow the coordinates.
Atoms (fractional coordinates):
Dy1 0.0000 0.0000 0.5000  0.03
Te1 0.7465 0.0065 0.2535  0.00
Te2 0.2522 0.5049 0.2576  -0.01
Te3 0.2535 0.5064 0.7465  0.00
Te4 0.2535 0.9935 0.7465  0.00
Te5 0.7478 0.4951 0.7424  -0.01
Te6 0.7411 0.9943 0.7475  -0.04
Te7 0.2589 0.0057 0.2525  -0.04
Te8 0.7465 0.4936 0.2535  0.00
Pu1 0.5000 0.5000 0.0000  -5.48
Pu2 0.0000 0.0000 0.0000  5.51
Pu3 0.0000 0.5000 0.0000  5.51
Er1 0.5000 0.5000 0.5000  0.00
Er2 0.0000 0.5000 0.5000  0.03
Er3 0.5000 0.0000 0.5000  0.00

(11)
This record from Alexandria via LeMat-Bulk describes a geometry-optimized La2CuBi2 structure. The functional is PBE.

Calculated values
Its symmetry is P4/mbm, No. 127. The total magnetization comes out at 0.000 μB/f.u. As for the relative energy among the computed polymorphs: 0 meV per atom. The value obtained for the density of states at the Fermi level is 5.2 states/eV/f.u. As for the formation energy: -0.475 eV per atom. As for the crystal system: tetragonal.

Unit cell a=8.2797 b=8.2797 c=4.5268 alpha=90.00 beta=90.00 gamma=90.00
Atoms (fractional coordinates):
Bi1 0.6591 0.1591 0.0000
Bi2 0.1591 0.3409 0.0000
Bi3 0.3409 0.8409 0.0000
Bi4 0.8409 0.6591 0.0000
La1 0.8465 0.3465 0.5000
La2 0.3465 0.1535 0.5000
La3 0.1535 0.6535 0.5000
La4 0.6535 0.8465 0.5000
Cu1 0.5000 0.5000 0.0000
Cu2 0.0000 0.0000 0.0000

(12)
This record from Alexandria via LeMat-Bulk describes a geometry-optimized Pr4HgSe2Cl structure. The functional is PBE.

Calculated values
Its symmetry is P2/m, No. 10. The total magnetization comes out at 0.000 μB/f.u. The value obtained for the density of states at the Fermi level is 4.9 states/eV/f.u. The value obtained for the formation energy (no corrections) is -1.386 eV/atom. As for the crystal system: monoclinic.

Unit cell a=4.2303 b=7.4461 c=7.5588 alpha=108.26 beta=90.00 gamma=90.00
Atoms (fractional coordinates):
Se1 0.5000 0.0000 0.5000
Se2 0.0000 0.5000 0.5000
Pr1 0.0000 0.2428 0.7395
Pr2 0.5000 0.7406 0.7346
Pr3 0.0000 0.7572 0.2605
Pr4 0.5000 0.2594 0.2654
Cl1 0.0000 0.0000 0.0000
Hg1 0.5000 0.5000 0.0000